VASP calculation (PBE with a Hubbard U) on an optimized crystal structure of Rb3TlFe2F8.

**Total DFT energy (no corrections)**: -4.506 eV per atom
**Size of the total moment**: 8.0 μB per cell

a = 6.5177 Å, b = 6.5177 Å, c = 8.3704 Å
α = 90.00°, β = 90.00°, γ = 120.00°
Space group P-3m1 (No. 164)
Symmetry-distinct sites (fractional):
Rb 0.0000 0.0000 0.0000 x1
Rb 0.3333 0.6667 0.6447 x2
Tl 0.0000 0.0000 0.5000 x1
Fe 0.3333 0.6667 0.1842 x2
F 0.1759 0.3517 0.2882 x6
F 0.3333 0.6667 0.9537 x2